The following is a DFT calculation (PBE-GGA) of crystalline PmGdN at its relaxed geometry.

Geometry as POSCAR:
```
PmGdN
1.0
4.775 0.000 0.000
0.000 4.775 0.000
-2.388 -2.388 3.897
Gd Pm N
1 1 1
Direct
0.352 0.352 0.704
0.885 0.885 0.770
0.613 0.613 0.227
```

Formation energy from raw total energies: 14 kJ/mol of atoms
M_tot: 7.5 μB/f.u.
SG: No. 107
D(E_F): 2.34 states/eV/cell